(1)
SmDyRuPb | Alexandria via LeMat-Bulk | PBE | optimized geometry; raw total energy = -5.809 eV/atom; D(E_F) = 2.448 states/eV/cell; theoretical density = 10.55 g/cm³
1.0
-3.151 2.091 -3.528
-0.270 -2.027 -4.750
-4.255 -2.534 -1.492
Ru Pb Sm Dy
1 1 1 1
Direct
0.000 0.000 0.000 Ru
0.500 0.500 0.500 Pb
0.750 0.750 0.750 Sm
0.250 0.250 0.250 Dy



(2)
TbDyRuPb | Alexandria via LeMat-Bulk | PBE | optimized geometry; raw total energy = -5.818 eV/atom; D(E_F) = 2.402 states/eV/cell; theoretical density = 10.96 g/cm³
1.0
5.129 0.000 0.000
2.565 4.442 0.000
2.565 1.481 4.188
Pb Tb Dy Ru
1 1 1 1
Direct
0.250 0.250 0.250 Pb
0.500 0.500 0.500 Tb
0.000 0.000 0.000 Dy
0.750 0.750 0.750 Ru



(3)
DyTmRuPb | Alexandria via LeMat-Bulk | PBE | optimized geometry; raw total energy = -5.793 eV/atom; D(E_F) = 2.217 states/eV/cell; theoretical density = 11.42 g/cm³
1.0
5.085 0.000 0.000
2.543 4.404 0.000
2.543 1.468 4.152
Ru Tm Dy Pb
1 1 1 1
Direct
0.000 0.000 0.000 Ru
0.750 0.750 0.750 Tm
0.250 0.250 0.250 Dy
0.500 0.500 0.500 Pb